# 1
{
  "formula": "BaLiCuGe2",
  "functional": "PBE",
  "state": "optimized geometry",
  "cell": [[-4.0652, -1.6322, 1.2605], [-0.4466, -2.0233, -4.0603], [4.5365, -2.4138, 3.2627]],
  "species": ["Ge", "Ge", "Li", "Ba", "Cu"],
  "frac_coords": [[0.3766, 0.3766, 0.7531], [0.6234, 0.6234, 0.2469], [0.7500, 0.2500, 0.5000], [0.0000, 0.0000, 0.0000], [0.2500, 0.7500, 0.5000]],
  "n_ef_per_ev_atom": 0.45,
  "vol_a3_per_cell": 107.3,
  "delta_e_f_ev_per_atom": -0.37,
  "spacegroup": "I-4m2, No. 119",
  "total_energy_ev_per_atom": -3.7991
}

***

# 2
{
  "formula": "Pm4PbI",
  "functional": "PBE",
  "state": "optimized geometry",
  "cell": [[-2.1011, 1.8734, 6.0749], [-4.9394, -5.6553, 1.3178], [8.5616, -3.5205, 0.5553]],
  "species": ["I", "I", "Pm", "Pm", "Pm", "Pm", "Pm", "Pm", "Pm", "Pm", "Pb", "Pb"],
  "frac_coords": [[0.0000, 0.5000, 0.5000], [0.5000, 0.0000, 0.5000], [0.9528, 0.9044, 0.7565], [0.2283, 0.6514, 0.3113], [0.3080, 0.5848, 0.8681], [0.7717, 0.3486, 0.6887], [0.5512, 0.9665, 0.1868], [0.0472, 0.0956, 0.2435], [0.4488, 0.0335, 0.8132], [0.6920, 0.4152, 0.1319], [0.1702, 0.2849, 0.0221], [0.8298, 0.7151, 0.9779]],
  "n_ef_per_ev_atom": 1.21,
  "vol_a3_per_cell": 422.9,
  "formation_energy_uncorrected_mev_per_atom": -275.0,
  "spacegroup": "P-1, No. 2",
  "total_energy_ev_per_atom": -4.3185
}

***

# 3
{
  "formula": "CsPm2Se3",
  "functional": "PBE",
  "state": "optimized geometry",
  "cell": [[-3.6212, -3.1285, -0.2628], [2.3537, 1.6284, -8.1143], [7.3947, -8.5946, 0.4202]],
  "species": ["Pm", "Pm", "Pm", "Pm", "Se", "Se", "Se", "Se", "Se", "Se", "Cs", "Cs"],
  "frac_coords": [[0.0000, 0.0000, 0.0000], [0.5231, 0.0462, 0.2500], [0.4769, 0.9538, 0.7500], [0.0000, 0.0000, 0.5000], [0.6138, 0.2276, 0.4588], [0.9351, 0.8702, 0.2500], [0.6138, 0.2276, 0.0412], [0.0649, 0.1298, 0.7500], [0.3862, 0.7724, 0.9588], [0.3862, 0.7724, 0.5412], [0.2569, 0.5139, 0.2500], [0.7431, 0.4861, 0.7500]],
  "n_ef_per_ev_atom": 0.43,
  "vol_a3_per_cell": 449.4,
  "formation_energy_uncorrected_mev_per_atom": -1558.9,
  "spacegroup": "Cmcm, No. 63",
  "total_energy_ev_per_atom": -5.0270
}

***

# 4
{
  "formula": "Be2SiIr",
  "functional": "PBE",
  "state": "optimized geometry",
  "cell": [[3.5810, 0.0000, 0.0000], [0.0000, 3.5810, 0.0000], [0.0000, 0.0000, 3.4285]],
  "species": ["Be", "Be", "Ir", "Si"],
  "frac_coords": [[0.0000, 0.0000, 0.0000], [0.5000, 0.5000, 0.0000], [0.5000, 0.0000, 0.5000], [0.0000, 0.5000, 0.5000]],
  "n_ef_per_ev_atom": 0.29,
  "vol_a3_per_cell": 44.0,
  "formation_energy_uncorrected_mev_per_atom": -296.3,
  "spacegroup": "P4/mmm, No. 123",
  "total_energy_ev_per_atom": -5.7304
}

***

# 5
{
  "formula": "Li3Sc",
  "functional": "PBE",
  "state": "optimized geometry",
  "cell": [[-1.3892, 5.3539, 2.8372], [-2.3650, -1.2488, -5.6117], [-3.9127, -2.1416, 2.1255]],
  "species": ["Li", "Li", "Li", "Li", "Li", "Li", "Sc", "Sc"],
  "frac_coords": [[0.3239, 0.1620, 0.2500], [0.1620, 0.3239, 0.7500], [0.6761, 0.8380, 0.7500], [0.8380, 0.1620, 0.2500], [0.1620, 0.8380, 0.7500], [0.8380, 0.6761, 0.2500], [0.6667, 0.3333, 0.7500], [0.3333, 0.6667, 0.2500]],
  "n_ef_per_ev_atom": 1.29,
  "vol_a3_per_cell": 165.4,
  "de_polymorph_ev_per_fu": 0.48,
  "delta_e_f_ev_per_atom": 0.23,
  "spacegroup": "P6_3/mmc, No. 194",
  "total_energy_ev_per_atom": -2.7929
}

***

# 6
{
  "formula": "Mg3AgB",
  "functional": "PBE",
  "state": "optimized geometry",
  "cell": [[-0.0723, -1.0490, 4.4269], [4.3243, -1.3917, -0.2591], [1.4138, 4.2031, 1.0190]],
  "species": ["Mg", "Mg", "Mg", "B", "Ag"],
  "frac_coords": [[0.5000, 0.0000, 0.0000], [0.0000, 0.0000, 0.5000], [0.0000, 0.5000, 0.0000], [0.0000, 0.0000, 0.0000], [0.5000, 0.5000, 0.5000]],
  "n_ef_per_ev_atom": 0.33,
  "vol_a3_per_cell": 94.2,
  "de_polymorph_ev_per_fu": 0.00,
  "delta_e_f_ev_per_atom": 0.15,
  "spacegroup": "Pm-3m, No. 221",
  "total_energy_ev_per_atom": -2.7078
}

***

# 7
{
  "formula": "SmGdScTl",
  "functional": "PBE",
  "state": "optimized geometry",
  "cell": [[5.4214, 0.0000, 0.0000], [2.7107, 4.6951, 0.0000], [2.7107, 1.5650, 4.4265]],
  "species": ["Sm", "Sc", "Tl", "Gd"],
  "frac_coords": [[0.2500, 0.2500, 0.2500], [0.0000, 0.0000, 0.0000], [0.5000, 0.5000, 0.5000], [0.7500, 0.7500, 0.7500]],
  "n_ef_per_ev_atom": 1.38,
  "vol_a3_per_cell": 112.7,
  "delta_e_f_ev_per_atom": -0.09,
  "spacegroup": "F-43m, No. 216",
  "total_energy_ev_per_atom": -6.9602
}

***

# 8
{
  "formula": "Pr4OsPdI2",
  "functional": "PBE",
  "state": "optimized geometry",
  "cell": [[-2.0464, 3.4328, 1.4883], [2.4290, -1.4895, 6.7755], [5.8590, 5.0746, -3.6486]],
  "species": ["Pr", "Pr", "Pr", "Pr", "Os", "I", "I", "Pd"],
  "frac_coords": [[0.0000, 0.2832, 0.8113], [0.5000, 0.7571, 0.8130], [0.0000, 0.7168, 0.1887], [0.5000, 0.2429, 0.1870], [0.5000, 0.5000, 0.0000], [0.5000, 0.0000, 0.5000], [0.0000, 0.5000, 0.5000], [0.0000, 0.0000, 0.0000]],
  "n_ef_per_ev_atom": 0.24,
  "vol_a3_per_cell": 257.3,
  "formation_energy_uncorrected_mev_per_atom": -752.7,
  "spacegroup": "P2/m, No. 10",
  "total_energy_ev_per_atom": -5.5828
}